DFT (PBE) results for an optimized crystal structure of TmHfRePd.

The space group is F-43m (No. 216) and the conventional cell measures 6.6940, 6.6940 and 6.6940 Å, with angles of 90.00, 90.00 and 90.00 degrees. The asymmetric unit holds Tm at (0.0000, 0.0000, 0.0000), Hf at (0.0000, 0.0000, 0.5000), Re at (0.2500, 0.2500, 0.2500) and Pd at (0.2500, 0.2500, 0.7500).

Its formation enthalpy at 0 K is -0.44 eV per atom.